The following is a DFT calculation (PBE) of an optimized crystal structure of Pr8OsRh3Br4.

Unit cell a=9.252 b=9.252 c=9.252 alpha=53.25 beta=53.25 gamma=53.25
Atoms (fractional coordinates):
Pr1 0.231 0.231 0.231
Pr2 0.237 0.730 0.730
Pr3 0.270 0.270 0.763
Pr4 0.270 0.763 0.270
Pr5 0.730 0.237 0.730
Pr6 0.730 0.730 0.237
Pr7 0.763 0.270 0.270
Pr8 0.769 0.769 0.769
Os1 0.500 0.500 0.500
Rh1 0.000 0.000 0.500
Rh2 0.000 0.500 0.000
Rh3 0.500 0.000 0.000
Br1 0.000 0.000 0.000
Br2 0.000 0.500 0.500
Br3 0.500 0.000 0.500
Br4 0.500 0.500 0.000

Output
Its space-group type is R-3m, No. 166. For the total energy, the calculation gives -93.8 eV/cell.

The following is a DFT calculation (PBE) of an optimized crystal structure of SrTl2Cd2Bi2.

Unit cell a=8.929 b=8.929 c=8.929 alpha=35.95 beta=35.95 gamma=35.95
Atoms (fractional coordinates):
Sr1 0.000 0.000 0.000
Tl1 0.137 0.137 0.137
Tl2 0.863 0.863 0.863
Cd1 0.436 0.436 0.436
Cd2 0.564 0.564 0.564
Bi1 0.266 0.266 0.266
Bi2 0.734 0.734 0.734

Output
Its space-group type is R-3m, No. 166. The value obtained for the formation energy is -0.173 eV per atom.

The following is a DFT calculation (PBE) of an optimized crystal structure of V4Ni12W.

Unit cell a=6.479 b=6.479 c=6.479 alpha=109.47 beta=109.47 gamma=109.47
Atoms (fractional coordinates):
V1 0.000 0.000 0.500
V2 0.000 0.500 0.000
V3 0.500 0.000 0.000
V4 0.500 0.500 0.500
Ni1 0.000 0.309 0.309
Ni2 0.000 0.691 0.691
Ni3 0.250 0.500 0.750
Ni4 0.250 0.750 0.500
Ni5 0.309 0.000 0.309
Ni6 0.309 0.309 0.000
Ni7 0.500 0.250 0.750
Ni8 0.500 0.750 0.250
Ni9 0.691 0.000 0.691
Ni10 0.691 0.691 0.000
Ni11 0.750 0.250 0.500
Ni12 0.750 0.500 0.250
W1 0.000 0.000 0.000

Output
Its space-group type is Im-3m, No. 229. The value obtained for the formation energy is 0.104 eV per atom.

Computed N(E_F) (states/eV/atom) in order:
0.361, 0.368, 1.489